[1]
Below is a geometry-optimized PmMg2Se structure, with properties calculated at the PBE level.

```
data_PmMg2Se
_chemical_formula_sum 'Pm1 Mg2 Se1'
_cell_length_a 6.477
_cell_length_b 6.477
_cell_length_c 6.477
_cell_angle_alpha 142.39
_cell_angle_beta 142.39
_cell_angle_gamma 54.24
_space_group_name_H-M_alt 'P 1'
_space_group_IT_number 1
loop_
_space_group_symop_operation_xyz
'x,y,z'
loop_
_atom_site_label
_atom_site_type_symbol
_atom_site_fract_x
_atom_site_fract_y
_atom_site_fract_z
Mg1 Mg 0.750 0.250 0.500
Mg2 Mg 0.250 0.750 0.500
Pm1 Pm 0.000 0.000 0.000
Se1 Se 0.500 0.500 0.000
```

Calculated values
E	-13.9	eV/cell
space group	No. 139

=====

[2]
Below is a geometry-optimized PmMgSn2 structure, with properties calculated at the PBE level.

```
data_PmMgSn2
_chemical_formula_sum 'Pm1 Mg1 Sn2'
_cell_length_a 4.807
_cell_length_b 4.807
_cell_length_c 4.433
_cell_angle_alpha 90.00
_cell_angle_beta 90.00
_cell_angle_gamma 90.00
_space_group_name_H-M_alt 'P 1'
_space_group_IT_number 1
loop_
_space_group_symop_operation_xyz
'x,y,z'
loop_
_atom_site_label
_atom_site_type_symbol
_atom_site_fract_x
_atom_site_fract_y
_atom_site_fract_z
Mg1 Mg 0.000 0.000 0.500
Pm1 Pm 0.500 0.500 0.500
Sn1 Sn 0.500 0.000 0.000
Sn2 Sn 0.000 0.500 0.000
```

Calculated values
E	-16.4	eV/cell
space group	No. 123

=====

[3]
Below is a geometry-optimized PmMgSn structure, with properties calculated at the PBE level.

```
data_PmMgSn
_chemical_formula_sum 'Pm1 Mg1 Sn1'
_cell_length_a 5.032
_cell_length_b 5.032
_cell_length_c 5.032
_cell_angle_alpha 60.00
_cell_angle_beta 60.00
_cell_angle_gamma 60.00
_space_group_name_H-M_alt 'P 1'
_space_group_IT_number 1
loop_
_space_group_symop_operation_xyz
'x,y,z'
loop_
_atom_site_label
_atom_site_type_symbol
_atom_site_fract_x
_atom_site_fract_y
_atom_site_fract_z
Mg1 Mg 0.250 0.250 0.250
Pm1 Pm 0.750 0.750 0.750
Sn1 Sn 0.000 0.000 0.000
```

Calculated values
E	-11.4	eV/cell
space group	No. 216